# 1
Here is RbPaB2O8 after structural relaxation from the Alexandria database. Energies are from GGA-PBE.

## Properties
The energy is -87.4 eV/f.u. The value obtained for the magnetization is 4.019 μB/f.u. The formation energy (no corrections) comes out at -192 kJ per mole of atoms.

```
data_RbPaB2O8
_chemical_formula_sum 'Rb2 Pa2 B4 O16'
_cell_length_a 9.395
_cell_length_b 5.416
_cell_length_c 8.091
_cell_angle_alpha 90.00
_cell_angle_beta 90.44
_cell_angle_gamma 90.00
_space_group_name_H-M_alt 'C 1 2/m 1'
_space_group_IT_number 12
loop_
_space_group_symop_operation_xyz
'x,y,z'
'-x,-y,-z'
'-x,y,-z'
'x,-y,z'
'x+1/2,y+1/2,z'
'-x+1/2,-y+1/2,-z'
'-x+1/2,y+1/2,-z'
'x+1/2,-y+1/2,z'
loop_
_atom_site_label
_atom_site_fract_x
_atom_site_fract_y
_atom_site_fract_z
Rb1 0.000 0.000 0.000
Pa1 0.000 0.000 0.500
B1 0.165 0.500 0.289
O1 0.091 0.277 0.341
O2 0.166 0.500 0.110
O3 0.186 0.000 0.659
```



# 2
Here is FeRhS after structural relaxation from the Alexandria database. Energies are from GGA-PBE.

## Properties
The energy is -20.1 eV/f.u. The energy above the most stable polymorph in this dataset comes out at 161 meV per atom. The value obtained for the magnetization is 2.505 μB/f.u. The formation energy (no corrections) comes out at -4 kJ per mole of atoms.

```
data_FeRhS
_chemical_formula_sum 'Fe2 Rh2 S2'
_cell_length_a 5.513
_cell_length_b 3.206
_cell_length_c 5.096
_cell_angle_alpha 90.00
_cell_angle_beta 111.27
_cell_angle_gamma 90.00
_space_group_name_H-M_alt 'C 1 m 1'
_space_group_IT_number 8
loop_
_space_group_symop_operation_xyz
'x,y,z'
'x,-y,z'
'x+1/2,y+1/2,z'
'x+1/2,-y+1/2,z'
loop_
_atom_site_label
_atom_site_fract_x
_atom_site_fract_y
_atom_site_fract_z
Fe1 0.000 0.000 0.000
Rh1 0.195 0.000 0.584
S1 0.426 0.000 0.275
```



# 3
Here is NaTc4O8 after structural relaxation from the Alexandria database. Energies are from GGA-PBE.

## Properties
The energy is -100.2 eV/f.u. The value obtained for the magnetization is 0.053 μB/f.u. The formation energy (no corrections) comes out at -132 kJ per mole of atoms.

```
data_NaTc4O8
_chemical_formula_sum 'Na2 Tc8 O16'
_cell_length_a 14.600
_cell_length_b 2.794
_cell_length_c 10.389
_cell_angle_alpha 90.00
_cell_angle_beta 134.61
_cell_angle_gamma 90.00
_space_group_name_H-M_alt 'C 1 m 1'
_space_group_IT_number 8
loop_
_space_group_symop_operation_xyz
'x,y,z'
'x,-y,z'
'x+1/2,y+1/2,z'
'x+1/2,-y+1/2,z'
loop_
_atom_site_label
_atom_site_fract_x
_atom_site_fract_y
_atom_site_fract_z
Na1 0.000 0.000 0.000
Tc1 0.172 0.000 0.548
Tc2 0.212 0.500 0.915
Tc3 0.344 0.000 0.213
Tc4 0.382 0.500 0.578
O1 0.069 0.000 0.779
O2 0.186 0.500 0.699
O3 0.191 0.500 0.421
O4 0.197 0.500 0.098
O5 0.357 0.000 0.027
O6 0.370 0.000 0.429
O7 0.371 0.000 0.719
O8 0.486 0.500 0.349
```



# 4
Here is SiNiPt2 after structural relaxation from the Alexandria database. Energies are from GGA-PBE.

## Properties
The energy is -22.6 eV/f.u. The value obtained for the magnetization is 0.000 μB/f.u. The formation energy (no corrections) comes out at 17 kJ per mole of atoms.

```
data_SiNiPt2
_chemical_formula_sum 'Si4 Ni4 Pt8'
_cell_length_a 5.358
_cell_length_b 5.358
_cell_length_c 11.072
_cell_angle_alpha 90.00
_cell_angle_beta 90.00
_cell_angle_gamma 90.00
_space_group_name_H-M_alt 'I -4 2 d'
_space_group_IT_number 122
_space_group_name_Hall 'I -4 2bw'
loop_
_atom_site_label
_atom_site_fract_x
_atom_site_fract_y
_atom_site_fract_z
Si1 0.000 0.000 0.000
Ni1 0.000 0.000 0.500
Pt1 0.236 0.250 0.125
```



# 5
Here is TaMnZnRh after structural relaxation from the Alexandria database. Energies are from GGA-PBE.

## Properties
The energy is -30.6 eV/f.u. The value obtained for the energy relative to the elements is -230 meV per atom. The value obtained for the magnetization is 0.878 μB/f.u.

```
data_TaMnZnRh
_chemical_formula_sum 'Ta4 Mn4 Zn4 Rh4'
_cell_length_a 6.108
_cell_length_b 6.108
_cell_length_c 6.108
_cell_angle_alpha 90.00
_cell_angle_beta 90.00
_cell_angle_gamma 90.00
_space_group_name_H-M_alt 'F -4 3 m'
_space_group_IT_number 216
_space_group_name_Hall 'F -4 2 3'
loop_
_atom_site_label
_atom_site_fract_x
_atom_site_fract_y
_atom_site_fract_z
Ta1 0.000 0.000 0.000
Mn1 0.250 0.250 0.250
Zn1 0.000 0.000 0.500
Rh1 0.250 0.250 0.750
```



# 6
Here is Er2BiI2 after structural relaxation from the Alexandria database. Energies are from GGA-PBE.

## Properties
The energy is -21.4 eV/f.u. The value obtained for the magnetization is 0.000 μB/f.u. The formation energy (no corrections) comes out at -103 kJ per mole of atoms.

```
data_Er2BiI2
_chemical_formula_sum 'Er6 Bi3 I6'
_cell_length_a 4.3586
_cell_length_b 4.3586
_cell_length_c 33.7331
_cell_angle_alpha 90.00
_cell_angle_beta 90.00
_cell_angle_gamma 120.00
_space_group_name_H-M_alt 'R -3 m'
_space_group_IT_number 166
_space_group_name_Hall '-R 3 2"'
loop_
_atom_site_label
_atom_site_fract_x
_atom_site_fract_y
_atom_site_fract_z
Er1 0.0000 0.0000 0.1155
Bi1 0.0000 0.0000 0.5000
I1 0.0000 0.0000 0.2742
```



# 7
Here is ScS2BrCl after structural relaxation from the Alexandria database. Energies are from GGA-PBE.

## Properties
The energy is -16.4 eV/f.u. The energy above the most stable polymorph in this dataset comes out at 859 meV per atom. The value obtained for the magnetization is 0.537 μB/f.u. The formation energy (no corrections) comes out at 34 kJ per mole of atoms.

```
data_ScS2BrCl
_chemical_formula_sum 'Sc1 S2 Br1 Cl1'
_cell_length_a 5.001
_cell_length_b 5.001
_cell_length_c 4.858
_cell_angle_alpha 90.00
_cell_angle_beta 90.00
_cell_angle_gamma 90.00
_space_group_name_H-M_alt 'P 4/m m m'
_space_group_IT_number 123
_space_group_name_Hall '-P 4 2'
loop_
_atom_site_label
_atom_site_fract_x
_atom_site_fract_y
_atom_site_fract_z
Sc1 0.000 0.000 0.000
S1 0.000 0.500 0.500
Br1 0.500 0.500 0.500
Cl1 0.500 0.500 0.000
```



# 8
Here is Ca2ZnGa2Pd5 after structural relaxation from the Alexandria database. Energies are from GGA-PBE.

## Properties
The energy is -44.0 eV/f.u. The value obtained for the energy relative to the elements is -673 meV per atom. The value obtained for the magnetization is 0.000 μB/f.u.

```
data_Ca2ZnGa2Pd5
_chemical_formula_sum 'Ca4 Zn2 Ga4 Pd10'
_cell_length_a 9.932
_cell_length_b 9.932
_cell_length_c 3.616
_cell_angle_alpha 90.00
_cell_angle_beta 90.00
_cell_angle_gamma 90.00
_space_group_name_H-M_alt 'P 4/m b m'
_space_group_IT_number 127
_space_group_name_Hall '-P 4 2ab'
loop_
_atom_site_label
_atom_site_fract_x
_atom_site_fract_y
_atom_site_fract_z
Ca1 0.174 0.326 0.000
Zn1 0.000 0.000 0.000
Ga1 0.125 0.625 0.000
Pd1 0.000 0.500 0.500
Pd2 0.064 0.800 0.500
```



# 9
Here is HfGe2Se4 after structural relaxation from the Alexandria database. Energies are from GGA-PBE.

## Properties
The energy is -34.8 eV/f.u. The value obtained for the magnetization is 0.154 μB/f.u. The formation energy (no corrections) comes out at -23 kJ per mole of atoms.

```
data_HfGe2Se4
_chemical_formula_sum 'Hf2 Ge4 Se8'
_cell_length_a 7.411
_cell_length_b 7.411
_cell_length_c 7.194
_cell_angle_alpha 90.00
_cell_angle_beta 90.00
_cell_angle_gamma 90.00
_space_group_name_H-M_alt 'I 4/m'
_space_group_IT_number 87
_space_group_name_Hall '-I 4'
loop_
_atom_site_label
_atom_site_fract_x
_atom_site_fract_y
_atom_site_fract_z
Hf1 0.000 0.000 0.000
Ge1 0.000 0.500 0.250
Se1 0.187 0.701 0.000
```



# 10
Here is La2Tb3Dy4 after structural relaxation from the Alexandria database. Energies are from GGA-PBE.

## Properties
The energy is -41.7 eV/f.u. The value obtained for the energy relative to the elements is 52 meV per atom. The energy above the most stable polymorph in this dataset comes out at 0 meV per atom. The value obtained for the magnetization is 0.000 μB/f.u.

```
data_La2Tb3Dy4
_chemical_formula_sum 'La2 Tb3 Dy4'
_cell_length_a 3.6099
_cell_length_b 3.6099
_cell_length_c 26.6097
_cell_angle_alpha 90.00
_cell_angle_beta 90.00
_cell_angle_gamma 120.00
_space_group_name_H-M_alt 'P 3 m 1'
_space_group_IT_number 156
loop_
_space_group_symop_operation_xyz
'x,y,z'
'-y,x-y,z'
'-x+y,-x,z'
'-y,-x,z'
'-x+y,y,z'
'x,x-y,z'
loop_
_atom_site_label
_atom_site_fract_x
_atom_site_fract_y
_atom_site_fract_z
La1 0.0000 0.0000 0.0000
La2 0.0000 0.0000 0.2251
Tb1 0.0000 0.0000 0.7814
Tb2 0.3333 0.6667 0.1151
Tb3 0.3333 0.6667 0.4614
Dy1 0.0000 0.0000 0.3569
Dy2 0.0000 0.0000 0.5690
Dy3 0.3333 0.6667 0.6745
Dy4 0.3333 0.6667 0.8876
```



# 11
Here is Mn2CdAu after structural relaxation from the Alexandria database. Energies are from GGA-PBE.

## Properties
The energy is -21.8 eV/f.u. The value obtained for the energy relative to the elements is 181 meV per atom. The value obtained for the magnetization is 7.684 μB/f.u.

```
data_Mn2CdAu
_chemical_formula_sum 'Mn4 Cd2 Au2'
_cell_length_a 4.015
_cell_length_b 4.075
_cell_length_c 8.289
_cell_angle_alpha 90.00
_cell_angle_beta 90.00
_cell_angle_gamma 90.00
_space_group_name_H-M_alt 'I m m 2'
_space_group_IT_number 44
loop_
_space_group_symop_operation_xyz
'x,y,z'
'-x,-y,z'
'-x,y,z'
'x,-y,z'
'x+1/2,y+1/2,z+1/2'
'-x+1/2,-y+1/2,z+1/2'
'-x+1/2,y+1/2,z+1/2'
'x+1/2,-y+1/2,z+1/2'
loop_
_atom_site_label
_atom_site_fract_x
_atom_site_fract_y
_atom_site_fract_z
Mn1 0.000 0.000 0.000
Mn2 0.000 0.500 0.250
Cd1 0.000 0.000 0.500
Au1 0.000 0.500 0.749
```



# 12
Here is BeNb2Cu after structural relaxation from the Alexandria database. Energies are from GGA-PBE.

## Properties
The energy is -27.7 eV/f.u. The value obtained for the energy relative to the elements is 57 meV per atom. The value obtained for the magnetization is 0.000 μB/f.u.

```
data_BeNb2Cu
_chemical_formula_sum 'Be1 Nb2 Cu1'
_cell_length_a 3.961
_cell_length_b 3.961
_cell_length_c 3.710
_cell_angle_alpha 90.00
_cell_angle_beta 90.00
_cell_angle_gamma 90.00
_space_group_name_H-M_alt 'P 4/m m m'
_space_group_IT_number 123
_space_group_name_Hall '-P 4 2'
loop_
_atom_site_label
_atom_site_fract_x
_atom_site_fract_y
_atom_site_fract_z
Be1 0.000 0.000 0.000
Nb1 0.000 0.500 0.500
Cu1 0.500 0.500 0.000
```